Arrangement P

A relaxed structure of Ta2CdTe, computed with GGA-PBEsol.

Unit cell a=3.4322 b=4.7658 c=5.5730 alpha=115.31 beta=107.93 gamma=90.00
Positions (direct):
Cd (0.7483, 0.2483, 0.4965)
Ta (0.9839, 0.9839, 0.9678)
Ta (0.2521, 0.7521, 0.5042)
Te (0.5157, 0.5157, 0.0315)

Computed properties:
Crystal system: orthorhombic
Theoretical density (g/cm³): 12.901
Calculated volume (Å³/cell): 77

***

Arrangement Q

A relaxed structure of Ta2CdTe, computed with GGA-PBEsol.

Unit cell a=3.4126 b=4.8977 c=5.5016 alpha=116.43 beta=108.07 gamma=90.00
Positions (direct):
Cd (0.0000, 0.5000, 0.0000)
Te (0.5000, 0.0000, 0.0000)
Ta (0.2424, 0.2424, 0.4849)
Ta (0.7576, 0.7576, 0.5151)

Computed properties:
Crystal system: orthorhombic
Theoretical density (g/cm³): 12.939
Calculated volume (Å³/cell): 77

***

What should be chosen as the least stable of them? Choose arrangement Q.